## Hf3CrP (GGA-PBEsol)

Data for Hf3CrP after structural relaxation.

Lattice parameters (Å, degrees): 4.751 4.751 4.751 90.00 90.00 90.00
Sites, in units of the cell vectors:
Hf1 0.500 0.000 0.000
Hf2 0.000 0.500 0.000
Hf3 0.000 0.000 0.500
Cr1 0.500 0.500 0.500
P1 0.000 0.000 0.000

Properties
E above lowest polymorph, eV per atom: 0.000
Symmetry: Pm-3m, No. 221
Raw total energy, eV for the cell shown: -46.9
ΔE_f, eV per atom: 0.129


## BiPd2C (GGA-PBEsol)

Data for BiPd2C after structural relaxation.

Lattice parameters (Å, degrees): 4.465 4.465 4.465 60.00 60.00 60.00
Sites, in units of the cell vectors:
Pd1 0.750 0.750 0.750
Pd2 0.250 0.250 0.250
Bi1 0.500 0.500 0.500
C1 0.000 0.000 0.000

Properties
Symmetry: Fm-3m, No. 225
Raw total energy, eV for the cell shown: -21.5
ΔE_f, eV per atom: 1.081